The following is a SCAN calculation of a PBEsol-optimized structure of BaNb3Al, from Alexandria.

Lattice parameters (Å, degrees): 4.998 4.998 4.998 90.00 90.00 90.00
Space group Pm-3m (No. 221)
Unique sites:
Ba1 0.000 0.000 0.000 x1
Nb1 0.000 0.000 0.500 x3
Al1 0.500 0.500 0.500 x1

Summary:
Calculated formation energy = 12.8 eV per formula unit
Calculated volume = 25.0 A^3/atom